This record from Alexandria via LeMat-Bulk describes crystalline CeNdHoTh at its relaxed geometry. The functional is PBE.

Its crystal system is trigonal. Its energy of formation from the pure elements is 42 meV/atom. As for the relative energy among the computed polymorphs: 0.00 eV per formula unit.

The structure belongs to space group R3m (No. 160, hexagonal axes); the cell edges are 3.5625, 3.5625 and 34.5707 Å and the angles 90.00°, 90.00° and 120.00°. The asymmetric unit holds Ce at (0.0000, 0.0000, 0.0000), Nd at (0.0000, 0.0000, 0.1684), Ho at (0.0000, 0.0000, 0.4149) and Th at (0.0000, 0.0000, 0.5867).